VASP calculation (PBE) on SrSbTe after structural relaxation.

* DOS at the Fermi energy: 0.625 states/eV/atom
* M_tot: 0.0 μB/f.u.
* energy relative to the elements, uncorrected: -0.44 eV per atom
* electronic total energy: -3.42 eV per atom

Cell and atoms, written as POSCAR:
```
SrSbTe
1.0
0.0000 3.8502 3.8502
3.8502 0.0000 3.8502
3.8502 3.8502 0.0000
Sr Sb Te
1 1 1
Cartesian
0.0000 0.0000 0.0000 Sr
5.7753 5.7753 5.7753 Sb
1.9251 1.9251 1.9251 Te
```